Record 1
Si3Te | PBE | relaxed

```
Si3Te
1.0
3.080 0.000 0.000
0.000 3.080 0.000
0.000 0.000 8.614
Si Te
3 1
direct
0.000 0.000 0.000
0.500 0.500 0.161
0.500 0.500 0.839
0.000 0.000 0.500
```

## Properties
- Crystal system: tetragonal
- V: 82 Å³ per cell
- Energy relative to the lowest polymorph listed for this composition: 0.262 eV per atom
- Energy relative to the elements, uncorrected: 0.54 eV per atom
- Total DFT energy (no corrections): -0.317 Ry/atom

***

Record 2
OsS2Cl | PBE | relaxed

```
OsS2Cl
1.0
1.817 1.049 6.966
-1.817 1.049 6.966
0.000 -2.098 6.966
Os S Cl
1 2 1
direct
0.000 0.000 0.000
0.386 0.386 0.386
0.614 0.614 0.614
0.500 0.500 0.500
```

## Properties
- Crystal system: trigonal
- V: 80 Å³ per cell
- Energy relative to the lowest polymorph listed for this composition: 0.000 eV per atom
- Energy relative to the elements, uncorrected: -0.06 eV per atom
- Total DFT energy (no corrections): -0.396 Ry/atom

***

Record 3
Tb2PmNd2Ho2 | PBE | relaxed

```
Tb2PmNd2Ho2
1.0
5.683 -2.543 0.000
5.683 2.543 0.000
-1.142 0.000 7.972
Tb Pm Nd Ho
2 1 2 2
direct
0.071 0.071 0.217
0.929 0.929 0.783
0.500 0.500 0.500
0.357 0.357 0.071
0.643 0.643 0.929
0.215 0.215 0.641
0.785 0.785 0.359
```

## Properties
- ΔH_f (0 K): 0.02 eV/atom
- Crystal system: monoclinic
- V: 230 Å³ per cell
- Total DFT energy (no corrections): -0.342 Ry/atom

***

Record 4
MgCuAsPd | PBE | relaxed

```
MgCuAsPd
1.0
0.000 3.147 3.147
3.147 0.000 3.147
3.147 3.147 0.000
Mg Cu As Pd
1 1 1 1
direct
0.000 0.000 0.000
0.750 0.750 0.750
0.500 0.500 0.500
0.250 0.250 0.250
```

## Properties
- ΔH_f (0 K): -0.27 eV/atom
- Crystal system: cubic
- V: 62 Å³ per cell
- Total DFT energy (no corrections): -0.305 Ry/atom

***

Record 5
KSr2DyI8 | PBE | relaxed

```
KSr2DyI8
1.0
7.380 0.000 0.000
0.000 9.987 0.000
-0.020 0.000 7.798
K Sr Dy I
1 2 1 8
direct
0.000 0.000 0.000
0.500 0.252 0.500
0.500 0.748 0.500
0.000 0.500 0.000
0.235 0.283 0.156
0.235 0.717 0.156
0.246 0.500 0.675
0.259 0.000 0.634
0.741 0.000 0.366
0.754 0.500 0.325
0.765 0.283 0.844
0.765 0.717 0.844
```

## Properties
- Crystal system: monoclinic
- V: 575 Å³ per cell
- Energy relative to the elements, uncorrected: -1.53 eV per atom
- Total DFT energy (no corrections): -0.244 Ry/atom

***

Record 6
MnCrPb2 | PBE | relaxed

```
MnCrPb2
1.0
-2.064 2.069 5.088
2.064 -2.069 5.088
2.064 2.069 -5.088
Mn Cr Pb
1 1 2
direct
0.000 0.000 0.000
0.249 0.749 0.500
0.500 0.500 0.000
0.750 0.250 0.500
```

## Properties
- ΔH_f (0 K): 0.56 eV/atom
- Crystal system: orthorhombic
- V: 87 Å³ per cell
- Energy relative to the lowest polymorph listed for this composition: 0.243 eV per atom
- Total DFT energy (no corrections): -0.441 Ry/atom